Record 1
Sc3PbN: relaxed, PBE-GGA.

abc: 3.591 3.591 19.311
angles: 90.00 90.00 120.00
Fractional coordinates of all 10 atoms:
1 Pb 0.000 0.000 0.000
2 Pb 0.000 0.000 0.500
3 Sc 0.000 0.000 0.250
4 Sc 0.000 0.000 0.750
5 Sc 0.333 0.667 0.868
6 Sc 0.333 0.667 0.632
7 Sc 0.667 0.333 0.368
8 Sc 0.667 0.333 0.132
9 N 0.333 0.667 0.750
10 N 0.667 0.333 0.250

symmetry = P6_3/mmc, No. 194
DOS at the Fermi energy = 0.71 states/eV/atom
size of the total moment = 0.000 μB per formula unit
total DFT energy (no corrections) = -68.75 eV/cell
formation energy (no corrections) = -0.670 eV/atom

***

Record 2
Sc3PbN: relaxed, PBE-GGA.

abc: 5.442 5.442 5.442
angles: 109.30 109.30 109.30
Fractional coordinates of all 5 atoms:
1 Pb 0.388 0.388 0.388
2 Sc 0.720 0.091 0.720
3 Sc 0.091 0.720 0.720
4 Sc 0.720 0.720 0.091
5 N 0.957 0.957 0.957

symmetry = R3m, No. 160
DOS at the Fermi energy = 0.99 states/eV/atom
size of the total moment = 0.000 μB per formula unit
total DFT energy (no corrections) = -32.17 eV/cell
formation energy (no corrections) = -0.228 eV/atom

***

Record 3
Sc3PbN: relaxed, PBE-GGA.

abc: 5.543 5.543 6.380
angles: 90.45 90.45 104.27
Fractional coordinates of all 10 atoms:
1 Sc 0.615 0.188 0.178
2 Sc 0.612 0.685 0.946
3 Sc 0.618 0.691 0.410
4 Sc 0.112 0.185 0.946
5 Sc 0.118 0.191 0.410
6 Sc 0.115 0.688 0.178
7 Pb 0.615 0.188 0.678
8 Pb 0.115 0.688 0.678
9 N 0.865 0.938 0.178
10 N 0.365 0.438 0.178

symmetry = P2/m, No. 10
DOS at the Fermi energy = 0.54 states/eV/atom
size of the total moment = 0.000 μB per formula unit
total DFT energy (no corrections) = -72.01 eV/cell
formation energy (no corrections) = -0.995 eV/atom

***

Record 4
Sc2PbN: relaxed, PBE-GGA.

abc: 8.502 8.502 8.502
angles: 22.66 22.66 22.66
Fractional coordinates of all 4 atoms:
1 Pb 0.000 0.000 0.000
2 Sc 0.879 0.879 0.879
3 Sc 0.121 0.121 0.121
4 N 0.500 0.500 0.500

symmetry = R-3m, No. 166
DOS at the Fermi energy = 0.27 states/eV/atom
size of the total moment = 0.000 μB per formula unit
total DFT energy (no corrections) = -28.28 eV/cell
formation energy (no corrections) = -0.895 eV/atom

***

Record 5
Sc2PbN: relaxed, PBE-GGA.

abc: 6.541 6.541 6.076
angles: 57.44 57.44 90.00
Fractional coordinates of all 8 atoms:
1 Pb 0.000 0.000 0.000
2 Pb 0.750 0.250 0.500
3 Sc 0.502 0.125 0.250
4 Sc 0.248 0.625 0.250
5 Sc 0.375 0.498 0.750
6 Sc 0.875 0.752 0.750
7 N 0.500 0.500 0.000
8 N 0.250 0.750 0.500

symmetry = I-42d, No. 122
DOS at the Fermi energy = 1.15 states/eV/atom
size of the total moment = 0.000 μB per formula unit
total DFT energy (no corrections) = -56.11 eV/cell
formation energy (no corrections) = -0.839 eV/atom

***

Record 6
Sc3PbN: relaxed, PBE-GGA.

abc: 21.080 10.060 10.060
angles: 154.41 162.62 17.38
Fractional coordinates of all 10 atoms:
1 Pb 0.678 0.893 0.107
2 Pb 0.322 0.107 0.893
3 Sc 0.184 0.883 0.117
4 Sc 0.816 0.117 0.883
5 Sc 0.946 0.357 0.643
6 Sc 0.054 0.643 0.357
7 Sc 0.567 0.615 0.385
8 Sc 0.433 0.385 0.615
9 N 0.934 0.882 0.118
10 N 0.066 0.118 0.882

symmetry = Imma, No. 74
DOS at the Fermi energy = 0.53 states/eV/atom
size of the total moment = 0.000 μB per formula unit
total DFT energy (no corrections) = -71.85 eV/cell
formation energy (no corrections) = -0.979 eV/atom

***

Record 7
ScPb3N: relaxed, PBE-GGA.

abc: 4.980 4.980 4.980
angles: 90.00 90.00 90.00
Fractional coordinates of all 5 atoms:
1 Pb 0.000 0.500 0.000
2 Pb 0.000 0.000 0.500
3 Pb 0.500 0.000 0.000
4 Sc 0.500 0.500 0.500
5 N 0.000 0.000 0.000

polymorph energy (0 for the lowest one) = 0 meV/atom
symmetry = Pm-3m, No. 221
DOS at the Fermi energy = 1.09 states/eV/atom
size of the total moment = 0.001 μB per formula unit
total DFT energy (no corrections) = -23.25 eV/cell
formation energy (no corrections) = 0.506 eV/atom

***

Record 8
ScPbSeN2: relaxed, PBE-GGA.

abc: 4.755 4.755 13.126
angles: 90.00 90.00 90.00
Site moments in Bohr magnetons follow the coordinates.
Fractional coordinates of all 5 atoms:
1 Pb 0.500 0.500 0.500  0.00
2 Sc 0.000 0.000 0.000  -0.12
3 Se 0.000 0.000 0.500  -0.01
4 N 0.000 0.500 0.000  0.97
5 N 0.500 0.000 0.000  0.97

polymorph energy (0 for the lowest one) = 84 meV/atom
symmetry = P4/mmm, No. 123
DOS at the Fermi energy = 0.92 states/eV/atom
size of the total moment = 2.926 μB per formula unit
total DFT energy (no corrections) = -24.71 eV/cell
formation energy (no corrections) = 1.092 eV/atom

***

Record 9
ScPbSe2N: relaxed, PBE-GGA.

abc: 5.409 5.409 4.198
angles: 90.00 90.00 90.00
Site moments in Bohr magnetons follow the coordinates.
Fractional coordinates of all 5 atoms:
1 Pb 0.000 0.000 0.000  0.02
2 Sc 0.500 0.500 0.500  0.37
3 Se 0.000 0.500 0.000  -0.06
4 Se 0.500 0.000 0.000  -0.06
5 N 0.000 0.000 0.500  -0.47

symmetry = P4/mmm, No. 123
DOS at the Fermi energy = 0.82 states/eV/atom
size of the total moment = 0.324 μB per formula unit
total DFT energy (no corrections) = -22.52 eV/cell
formation energy (no corrections) = 0.564 eV/atom

***

Record 10
ScPbSeN2: relaxed, PBE-GGA.

abc: 4.208 4.208 5.599
angles: 90.00 90.00 90.00
Site moments in Bohr magnetons follow the coordinates.
Fractional coordinates of all 5 atoms:
1 Pb 0.000 0.000 0.000  -0.01
2 Sc 0.500 0.500 0.500  -0.19
3 Se 0.000 0.000 0.500  0.00
4 N 0.000 0.500 0.000  0.44
5 N 0.500 0.000 0.000  0.44

polymorph energy (0 for the lowest one) = 0 meV/atom
symmetry = P4/mmm, No. 123
DOS at the Fermi energy = 0.46 states/eV/atom
size of the total moment = 0.956 μB per formula unit
total DFT energy (no corrections) = -25.13 eV/cell
formation energy (no corrections) = 1.009 eV/atom

***

Record 11
ScTePbN2: relaxed, PBE-GGA.

abc: 4.413 4.413 5.780
angles: 90.00 90.00 90.00
Site moments in Bohr magnetons follow the coordinates.
Fractional coordinates of all 5 atoms:
1 Pb 0.500 0.500 0.500  -0.03
2 Sc 0.000 0.000 0.000  -0.05
3 Te 0.000 0.000 0.500  0.13
4 N 0.000 0.500 0.000  0.95
5 N 0.500 0.000 0.000  0.95

polymorph energy (0 for the lowest one) = 0 meV/atom
symmetry = P4/mmm, No. 123
DOS at the Fermi energy = 0.49 states/eV/atom
size of the total moment = 2.929 μB per formula unit
total DFT energy (no corrections) = -27.47 eV/cell
formation energy (no corrections) = 0.472 eV/atom

***

Record 12
ScTePbN2: relaxed, PBE-GGA.

abc: 4.359 4.359 6.136
angles: 90.00 90.00 90.00
Fractional coordinates of all 5 atoms:
1 Pb 0.000 0.000 0.000
2 Sc 0.500 0.500 0.500
3 Te 0.000 0.000 0.500
4 N 0.000 0.500 0.000
5 N 0.500 0.000 0.000

polymorph energy (0 for the lowest one) = 713 meV/atom
symmetry = P4/mmm, No. 123
DOS at the Fermi energy = 0.91 states/eV/atom
size of the total moment = 0.001 μB per formula unit
total DFT energy (no corrections) = -23.91 eV/cell
formation energy (no corrections) = 1.185 eV/atom